DFT (PBE-GGA) results for a relaxed structure of CaCdCu2.

```
data_CaCdCu2
_space_group_name_H-M_alt 'C 1 2/m 1'
_space_group_IT_number 12
_cell_length_a 7.8397
_cell_length_b 4.5028
_cell_length_c 5.3971
_cell_angle_alpha 90.00
_cell_angle_beta 118.84
_cell_angle_gamma 90.00
loop_
_space_group_symop_operation_xyz
'x,y,z'
'-x,-y,-z'
'-x,y,-z'
'x,-y,z'
'x+1/2,y+1/2,z'
'-x+1/2,-y+1/2,-z'
'-x+1/2,y+1/2,-z'
'x+1/2,-y+1/2,z'
loop_
_atom_site_label
_atom_site_fract_x
_atom_site_fract_y
_atom_site_fract_z
Ca1 0.0000 0.0000 0.0000
Cd1 0.0000 0.5000 0.5000
Cu1 0.2029 0.0000 0.6071
```

Values from the calculation:
E_form (meV per atom): -96



DFT (PBE-GGA) results for a relaxed structure of Ca3CdCu8.

```
data_Ca3CdCu8
_space_group_name_H-M_alt 'R 3 m'
_space_group_IT_number 160
_space_group_name_Hall 'R 3 -2"'
_cell_length_a 5.2233
_cell_length_b 5.2233
_cell_length_c 25.6148
_cell_angle_alpha 90.00
_cell_angle_beta 90.00
_cell_angle_gamma 120.00
loop_
_atom_site_label
_atom_site_fract_x
_atom_site_fract_y
_atom_site_fract_z
Ca1 0.0000 0.0000 0.0000
Ca2 0.0000 0.0000 0.1292
Ca3 0.0000 0.0000 0.6171
Cd1 0.0000 0.0000 0.4961
Cu1 0.0000 0.0000 0.3107
Cu2 0.0000 0.0000 0.8114
Cu3 0.0003 0.5002 0.0620
Cu4 0.0043 0.5022 0.5602
```

Values from the calculation:
E_form (meV per atom): -113



DFT (PBE-GGA) results for a relaxed structure of Ca2Cd2Cu.

```
data_Ca2Cd2Cu
_space_group_name_H-M_alt 'P 4/m b m'
_space_group_IT_number 127
_space_group_name_Hall '-P 4 2ab'
_cell_length_a 8.0268
_cell_length_b 8.0268
_cell_length_c 4.5283
_cell_angle_alpha 90.00
_cell_angle_beta 90.00
_cell_angle_gamma 90.00
loop_
_atom_site_label
_atom_site_fract_x
_atom_site_fract_y
_atom_site_fract_z
Ca1 0.1670 0.3330 0.0000
Cd1 0.1349 0.6349 0.5000
Cu1 0.0000 0.0000 0.0000
```

Values from the calculation:
E_form (meV per atom): 58



DFT (PBE-GGA) results for a relaxed structure of CaCd3Cu8.

```
data_CaCd3Cu8
_space_group_name_H-M_alt 'R 3 m'
_space_group_IT_number 160
_space_group_name_Hall 'R 3 -2"'
_cell_length_a 5.0975
_cell_length_b 5.0975
_cell_length_c 24.7945
_cell_angle_alpha 90.00
_cell_angle_beta 90.00
_cell_angle_gamma 120.00
loop_
_atom_site_label
_atom_site_fract_x
_atom_site_fract_y
_atom_site_fract_z
Ca1 0.0000 0.0000 0.0000
Cd1 0.0000 0.0000 0.3791
Cd2 0.0000 0.0000 0.5001
Cd3 0.0000 0.0000 0.8724
Cu1 0.0000 0.0000 0.1870
Cu2 0.0000 0.0000 0.6877
Cu3 0.0015 0.5008 0.4387
Cu4 0.1673 0.3346 0.2688
```

Values from the calculation:
E_form (meV per atom): -60



DFT (PBE-GGA) results for a relaxed structure of CaCdCu2.

```
data_CaCdCu2
_space_group_name_H-M_alt 'I 41/a m d'
_space_group_IT_number 141
_cell_length_a 4.6779
_cell_length_b 4.6779
_cell_length_c 18.2170
_cell_angle_alpha 90.00
_cell_angle_beta 90.00
_cell_angle_gamma 90.00
loop_
_space_group_symop_operation_xyz
'x,y,z'
'-x,-y,-z'
'-y+1/4,x+3/4,z+1/4'
'y+1/4,-x+3/4,-z+1/4'
'-x+1/2,-y,z+1/2'
'x+1/2,y,-z+1/2'
'y+1/4,-x+1/4,z+3/4'
'-y+1/4,x+1/4,-z+3/4'
'x,-y,-z'
'-x,y,z'
'-y+1/4,-x+1/4,-z+3/4'
'y+1/4,x+1/4,z+3/4'
'-x+1/2,y,-z+1/2'
'x+1/2,-y,z+1/2'
'y+1/4,x+3/4,-z+1/4'
'-y+1/4,-x+3/4,z+1/4'
'x+1/2,y+1/2,z+1/2'
'-x+1/2,-y+1/2,-z+1/2'
'-y+3/4,x+1/4,z+3/4'
'y+3/4,-x+1/4,-z+3/4'
'-x,-y+1/2,z'
'x,y+1/2,-z'
'y+3/4,-x+3/4,z+1/4'
'-y+3/4,x+3/4,-z+1/4'
'x+1/2,-y+1/2,-z+1/2'
'-x+1/2,y+1/2,z+1/2'
'-y+3/4,-x+3/4,-z+1/4'
'y+3/4,x+3/4,z+1/4'
'-x,y+1/2,-z'
'x,-y+1/2,z'
'y+3/4,x+1/4,-z+3/4'
'-y+3/4,-x+1/4,z+3/4'
loop_
_atom_site_label
_atom_site_fract_x
_atom_site_fract_y
_atom_site_fract_z
Ca1 0.0000 0.2500 0.3750
Cd1 0.0000 0.2500 0.8750
Cu1 0.0000 0.0000 0.0000
```

Values from the calculation:
E_form (meV per atom): 125



DFT (PBE-GGA) results for a relaxed structure of CaCd11Cu.

```
data_CaCd11Cu
_space_group_name_H-M_alt 'C 1 2/m 1'
_space_group_IT_number 12
_cell_length_a 5.8453
_cell_length_b 14.1931
_cell_length_c 7.6186
_cell_angle_alpha 90.00
_cell_angle_beta 112.12
_cell_angle_gamma 90.00
loop_
_space_group_symop_operation_xyz
'x,y,z'
'-x,-y,-z'
'-x,y,-z'
'x,-y,z'
'x+1/2,y+1/2,z'
'-x+1/2,-y+1/2,-z'
'-x+1/2,y+1/2,-z'
'x+1/2,-y+1/2,z'
loop_
_atom_site_label
_atom_site_fract_x
_atom_site_fract_y
_atom_site_fract_z
Ca1 0.0000 0.0000 0.0000
Cd1 0.0000 0.0000 0.5000
Cd2 0.0937 0.3957 0.2195
Cd3 0.1890 0.1708 0.3575
Cd4 0.2500 0.2500 0.0000
Cu1 0.0000 0.5000 0.5000
```

Values from the calculation:
E_form (meV per atom): -78



DFT (PBE-GGA) results for a relaxed structure of Ca4CdCu.

```
data_Ca4CdCu
_space_group_name_H-M_alt 'F -4 3 m'
_space_group_IT_number 216
_space_group_name_Hall 'F -4 2 3'
_cell_length_a 9.4311
_cell_length_b 9.4311
_cell_length_c 9.4311
_cell_angle_alpha 90.00
_cell_angle_beta 90.00
_cell_angle_gamma 90.00
loop_
_atom_site_label
_atom_site_fract_x
_atom_site_fract_y
_atom_site_fract_z
Ca1 0.1250 0.1250 0.1250
Cd1 0.2500 0.2500 0.7500
Cu1 0.0000 0.0000 0.5000
```

Values from the calculation:
E_form (meV per atom): 504



DFT (PBE-GGA) results for a relaxed structure of CaCd3Cu.

```
data_CaCd3Cu
_space_group_name_H-M_alt 'C 1 2/m 1'
_space_group_IT_number 12
_cell_length_a 12.7794
_cell_length_b 5.9928
_cell_length_c 7.5866
_cell_angle_alpha 90.00
_cell_angle_beta 126.06
_cell_angle_gamma 90.00
loop_
_space_group_symop_operation_xyz
'x,y,z'
'-x,-y,-z'
'-x,y,-z'
'x,-y,z'
'x+1/2,y+1/2,z'
'-x+1/2,-y+1/2,-z'
'-x+1/2,y+1/2,-z'
'x+1/2,-y+1/2,z'
loop_
_atom_site_label
_atom_site_fract_x
_atom_site_fract_y
_atom_site_fract_z
Ca1 0.0000 0.0000 0.0000
Ca2 0.0000 0.0000 0.5000
Cd1 0.0008 0.5000 0.1902
Cd2 0.2500 0.2500 0.0000
Cd3 0.2500 0.2500 0.5000
Cu1 0.1271 0.5000 0.6271
```

Values from the calculation:
E_form (meV per atom): -147



DFT (PBE-GGA) results for a relaxed structure of CaCd2Cu2.

```
data_CaCd2Cu2
_space_group_name_H-M_alt 'P 4/m b m'
_space_group_IT_number 127
_space_group_name_Hall '-P 4 2ab'
_cell_length_a 7.6218
_cell_length_b 7.6218
_cell_length_c 3.3829
_cell_angle_alpha 90.00
_cell_angle_beta 90.00
_cell_angle_gamma 90.00
loop_
_atom_site_label
_atom_site_fract_x
_atom_site_fract_y
_atom_site_fract_z
Ca1 0.0000 0.0000 0.0000
Cd1 0.1694 0.3306 0.5000
Cu1 0.1210 0.6210 0.0000
```

Values from the calculation:
E_form (meV per atom): -41



DFT (PBE-GGA) results for a relaxed structure of Ca4CdCu.

```
data_Ca4CdCu
_space_group_name_H-M_alt 'P 4/m m m'
_space_group_IT_number 123
_space_group_name_Hall '-P 4 2'
_cell_length_a 3.7506
_cell_length_b 3.7506
_cell_length_c 13.1076
_cell_angle_alpha 90.00
_cell_angle_beta 90.00
_cell_angle_gamma 90.00
loop_
_atom_site_label
_atom_site_fract_x
_atom_site_fract_y
_atom_site_fract_z
Ca1 0.0000 0.0000 0.1290
Ca2 0.5000 0.5000 0.3523
Cd1 0.0000 0.0000 0.5000
Cu1 0.5000 0.5000 0.0000
```

Values from the calculation:
E_form (meV per atom): -142



DFT (PBE-GGA) results for a relaxed structure of CaCdCu2.

```
data_CaCdCu2
_space_group_name_H-M_alt 'P 4/m m m'
_space_group_IT_number 123
_space_group_name_Hall '-P 4 2'
_cell_length_a 4.5311
_cell_length_b 4.5311
_cell_length_c 3.8157
_cell_angle_alpha 90.00
_cell_angle_beta 90.00
_cell_angle_gamma 90.00
loop_
_atom_site_label
_atom_site_fract_x
_atom_site_fract_y
_atom_site_fract_z
Ca1 0.0000 0.0000 0.0000
Cd1 0.5000 0.5000 0.0000
Cu1 0.0000 0.5000 0.5000
```

Values from the calculation:
E_form (meV per atom): 42



DFT (PBE-GGA) results for a relaxed structure of Ca8CdCu2.

```
data_Ca8CdCu2
_space_group_name_H-M_alt 'C 1 m 1'
_space_group_IT_number 8
_cell_length_a 9.2642
_cell_length_b 13.6488
_cell_length_c 5.8560
_cell_angle_alpha 90.00
_cell_angle_beta 104.96
_cell_angle_gamma 90.00
loop_
_space_group_symop_operation_xyz
'x,y,z'
'x,-y,z'
'x+1/2,y+1/2,z'
'x+1/2,-y+1/2,z'
loop_
_atom_site_label
_atom_site_fract_x
_atom_site_fract_y
_atom_site_fract_z
Ca1 0.0000 0.0000 0.0000
Ca2 0.0729 0.3702 0.7793
Ca3 0.1794 0.1299 0.6058
Ca4 0.2527 0.5000 0.3856
Ca5 0.3760 0.2407 0.1926
Cd1 0.3764 0.0000 0.1946
Cu1 0.3767 0.3148 0.6933
```

Values from the calculation:
E_form (meV per atom): -73



DFT (PBE-GGA) results for a relaxed structure of CaCd3Cu.

```
data_CaCd3Cu
_space_group_name_H-M_alt 'P m -3 m'
_space_group_IT_number 221
_space_group_name_Hall '-P 4 2 3'
_cell_length_a 6.0768
_cell_length_b 6.0768
_cell_length_c 6.0768
_cell_angle_alpha 90.00
_cell_angle_beta 90.00
_cell_angle_gamma 90.00
loop_
_atom_site_label
_atom_site_fract_x
_atom_site_fract_y
_atom_site_fract_z
Ca1 0.0000 0.0000 0.0000
Cd1 0.0000 0.0000 0.5000
Cu1 0.5000 0.5000 0.5000
```

Values from the calculation:
E_form (meV per atom): 879



DFT (PBE-GGA) results for a relaxed structure of CaCdCu5.

```
data_CaCdCu5
_space_group_name_H-M_alt 'P n m a'
_space_group_IT_number 62
_cell_length_a 8.3573
_cell_length_b 5.0435
_cell_length_c 10.5984
_cell_angle_alpha 90.00
_cell_angle_beta 90.00
_cell_angle_gamma 90.00
loop_
_space_group_symop_operation_xyz
'x,y,z'
'-x,-y,-z'
'-x+1/2,-y,z+1/2'
'x+1/2,y,-z+1/2'
'x+1/2,-y+1/2,-z+1/2'
'-x+1/2,y+1/2,z+1/2'
'-x,y+1/2,-z'
'x,-y+1/2,z'
loop_
_atom_site_label
_atom_site_fract_x
_atom_site_fract_y
_atom_site_fract_z
Ca1 0.2438 0.2500 0.0645
Cd1 0.1376 0.7500 0.8657
Cu1 0.0503 0.7500 0.1100
Cu2 0.0666 0.0015 0.3142
Cu3 0.0833 0.2500 0.5167
Cu4 0.1873 0.2500 0.7410
```

Values from the calculation:
E_form (meV per atom): -116



DFT (PBE-GGA) results for a relaxed structure of CaCd2Cu2.

```
data_CaCd2Cu2
_space_group_name_H-M_alt 'I 4/m m m'
_space_group_IT_number 139
_space_group_name_Hall '-I 4 2'
_cell_length_a 4.2515
_cell_length_b 4.2515
_cell_length_c 11.6622
_cell_angle_alpha 90.00
_cell_angle_beta 90.00
_cell_angle_gamma 90.00
loop_
_atom_site_label
_atom_site_fract_x
_atom_site_fract_y
_atom_site_fract_z
Ca1 0.0000 0.0000 0.0000
Cd1 0.0000 0.5000 0.2500
Cu1 0.0000 0.0000 0.3987
```

Values from the calculation:
E_form (meV per atom): -114



DFT (PBE-GGA) results for a relaxed structure of CaCd9Cu2.

```
data_CaCd9Cu2
_space_group_name_H-M_alt 'I 41/a m d'
_space_group_IT_number 141
_cell_length_a 11.7597
_cell_length_b 11.7597
_cell_length_c 7.4843
_cell_angle_alpha 90.00
_cell_angle_beta 90.00
_cell_angle_gamma 90.00
loop_
_space_group_symop_operation_xyz
'x,y,z'
'-x,-y,-z'
'-y+1/4,x+3/4,z+1/4'
'y+1/4,-x+3/4,-z+1/4'
'-x+1/2,-y,z+1/2'
'x+1/2,y,-z+1/2'
'y+1/4,-x+1/4,z+3/4'
'-y+1/4,x+1/4,-z+3/4'
'x,-y,-z'
'-x,y,z'
'-y+1/4,-x+1/4,-z+3/4'
'y+1/4,x+1/4,z+3/4'
'-x+1/2,y,-z+1/2'
'x+1/2,-y,z+1/2'
'y+1/4,x+3/4,-z+1/4'
'-y+1/4,-x+3/4,z+1/4'
'x+1/2,y+1/2,z+1/2'
'-x+1/2,-y+1/2,-z+1/2'
'-y+3/4,x+1/4,z+3/4'
'y+3/4,-x+1/4,-z+3/4'
'-x,-y+1/2,z'
'x,y+1/2,-z'
'y+3/4,-x+3/4,z+1/4'
'-y+3/4,x+3/4,-z+1/4'
'x+1/2,-y+1/2,-z+1/2'
'-x+1/2,y+1/2,z+1/2'
'-y+3/4,-x+3/4,-z+1/4'
'y+3/4,x+3/4,z+1/4'
'-x,y+1/2,-z'
'x,-y+1/2,z'
'y+3/4,x+1/4,-z+3/4'
'-y+3/4,-x+1/4,z+3/4'
loop_
_atom_site_label
_atom_site_fract_x
_atom_site_fract_y
_atom_site_fract_z
Ca1 0.0000 0.2500 0.3750
Cd1 0.0000 0.2500 0.8750
Cd2 0.1210 0.0517 0.6821
Cu1 0.0000 0.0000 0.0000
```

Values from the calculation:
E_form (meV per atom): -90



DFT (PBE-GGA) results for a relaxed structure of CaCdCu2.

```
data_CaCdCu2
_space_group_name_H-M_alt 'P 1 m 1'
_space_group_IT_number 6
_cell_length_a 3.9430
_cell_length_b 4.0338
_cell_length_c 5.4302
_cell_angle_alpha 90.00
_cell_angle_beta 111.21
_cell_angle_gamma 90.00
loop_
_space_group_symop_operation_xyz
'x,y,z'
'x,-y,z'
loop_
_atom_site_label
_atom_site_fract_x
_atom_site_fract_y
_atom_site_fract_z
Ca1 0.0000 0.0000 0.0000
Cd1 0.6997 0.5000 0.3998
Cu1 0.2782 0.0000 0.5588
Cu2 0.4118 0.5000 0.8221
```

Values from the calculation:
E_form (meV per atom): -75



DFT (PBE-GGA) results for a relaxed structure of Ca12CdCu5.

```
data_Ca12CdCu5
_space_group_name_H-M_alt 'I m m m'
_space_group_IT_number 71
_space_group_name_Hall '-I 2 2'
_cell_length_a 9.8394
_cell_length_b 10.0051
_cell_length_c 10.8622
_cell_angle_alpha 90.00
_cell_angle_beta 90.00
_cell_angle_gamma 90.00
loop_
_atom_site_label
_atom_site_fract_x
_atom_site_fract_y
_atom_site_fract_z
Ca1 0.0000 0.1923 0.2300
Ca2 0.1959 0.5000 0.1746
Ca3 0.2177 0.3183 0.5000
Cd1 0.0000 0.0000 0.5000
Cu1 0.0000 0.0000 0.0000
Cu2 0.0000 0.3689 0.0000
Cu3 0.0000 0.5000 0.3858
```

Values from the calculation:
E_form (meV per atom): -108



DFT (PBE-GGA) results for a relaxed structure of CaCd4Cu.

```
data_CaCd4Cu
_space_group_name_H-M_alt 'P m m a'
_space_group_IT_number 51
_cell_length_a 8.5628
_cell_length_b 4.2320
_cell_length_c 7.4823
_cell_angle_alpha 90.00
_cell_angle_beta 90.00
_cell_angle_gamma 90.00
loop_
_space_group_symop_operation_xyz
'x,y,z'
'-x,-y,-z'
'-x+1/2,-y,z'
'x+1/2,y,-z'
'x+1/2,-y,-z'
'-x+1/2,y,z'
'-x,y,-z'
'x,-y,z'
loop_
_atom_site_label
_atom_site_fract_x
_atom_site_fract_y
_atom_site_fract_z
Ca1 0.2500 0.0000 0.1030
Cd1 0.0000 0.0000 0.5000
Cd2 0.0592 0.5000 0.8110
Cd3 0.2500 0.5000 0.4375
Cu1 0.2500 0.0000 0.7070
```

Values from the calculation:
E_form (meV per atom): -176



DFT (PBE-GGA) results for a relaxed structure of Ca6Cd5Cu.

```
data_Ca6Cd5Cu
_space_group_name_H-M_alt 'C m m m'
_space_group_IT_number 65
_space_group_name_Hall '-C 2 2'
_cell_length_a 5.4315
_cell_length_b 16.2479
_cell_length_c 7.4929
_cell_angle_alpha 90.00
_cell_angle_beta 90.00
_cell_angle_gamma 90.00
loop_
_atom_site_label
_atom_site_fract_x
_atom_site_fract_y
_atom_site_fract_z
Ca1 0.0000 0.0000 0.2399
Ca2 0.0000 0.3388 0.2447
Cd1 0.0000 0.1682 0.5000
Cd2 0.0000 0.1726 0.0000
Cd3 0.0000 0.5000 0.5000
Cu1 0.0000 0.5000 0.0000
```

Values from the calculation:
E_form (meV per atom): -294